Sr2Li3AgBi4 after structural relaxation. Source: the Alexandria database, functional PBE.

Output
Energy of formation from the pure elements in meV/atom: -564

```
Sr2Li3AgBi4
1.0
-4.6581 0.7300 0.4857
-0.6469 -1.0885 -4.5677
-1.5370 -11.8275 3.0363
Sr Li Ag Bi
2 3 1 4
Direct
0.5000 0.0000 0.2636
0.0000 0.5000 0.7364
0.0000 0.0000 0.5000
0.5000 0.0000 0.8615
0.0000 0.5000 0.1385
0.5000 0.5000 0.5000
0.5000 0.5000 0.0000
0.0000 0.0000 0.0000
0.5000 0.0000 0.6412
0.0000 0.5000 0.3588
```

Hf4Nb2Sn after structural relaxation. Source: the Alexandria database, functional PBE.

Output
Energy of formation from the pure elements in meV/atom: 523

```
Hf4Nb2Sn
1.0
-0.2846 -4.5575 1.0831
2.8827 -1.8314 3.2188
-4.9236 -0.2866 7.6675
Hf Nb Sn
4 2 1
Direct
0.3848 0.3848 0.8456
0.2209 0.2209 0.3372
0.7791 0.7791 0.6628
0.6152 0.6152 0.1544
0.1071 0.1071 0.6788
0.8929 0.8929 0.3212
0.0000 0.0000 0.0000
```

Ce4Pb2C after structural relaxation. Source: the Alexandria database, functional PBE.

Output
Energy of formation from the pure elements in meV/atom: -287

```
Ce4Pb2C
1.0
6.5171 0.0000 -0.4926
0.0000 6.6467 0.0000
-2.9522 0.0000 9.3749
Ce Pb C
8 4 2
Direct
0.5460 0.4765 0.2839
0.1418 0.7500 0.9556
0.8582 0.2500 0.0444
0.5460 0.0235 0.2839
0.9108 0.2500 0.6521
0.4540 0.9765 0.7161
0.4540 0.5235 0.7161
0.0892 0.7500 0.3479
0.6983 0.7500 0.0374
0.3017 0.2500 0.9626
0.1636 0.2500 0.4064
0.8364 0.7500 0.5936
0.3092 0.7500 0.2102
0.6908 0.2500 0.7898
```

Na3HfV2S6 after structural relaxation. Source: the Alexandria database, functional PBE.

Output
Formation energy (no corrections) in eV/atom: -1.220

```
Na3HfV2S6
1.0
-3.3634 -4.6655 2.5612
5.8105 -1.1186 -2.1510
1.6766 3.4084 5.8296
Na Hf V S
3 1 2 6
Direct
0.1656 0.8344 0.5000
0.8344 0.1656 0.5000
0.5000 0.5000 0.5000
0.0000 0.0000 0.0000
0.3329 0.6671 0.0000
0.6671 0.3329 0.0000
0.9297 0.5892 0.7897
0.7293 0.7293 0.2100
0.0703 0.4108 0.2103
0.5892 0.9297 0.7897
0.2707 0.2707 0.7900
0.4108 0.0703 0.2103
```

MnReIr after structural relaxation. Source: the Alexandria database, functional PBE.

Output
Energy of formation from the pure elements in meV/atom: 5

```
MnReIr
1.0
-3.8667 0.3114 -1.6870
0.5720 -2.1553 3.5947
-0.4341 2.2313 1.4069
Ir Mn Re
1 1 1
Direct
0.0000 0.0000 0.0001
0.6667 0.3333 0.4998
0.3333 0.6667 0.5001
```

LaTc2Pt after structural relaxation. Source: the Alexandria database, functional PBE.

Output
Energy of formation from the pure elements in meV/atom: 230

```
LaTc2Pt
1.0
-1.6638 -4.0504 1.5561
1.6545 -1.8869 -3.1424
3.3707 -0.5710 2.1176
La Pt Tc
1 1 2
Direct
0.5000 0.5000 0.0000
0.5000 0.0000 0.5000
0.0000 0.0000 0.0000
0.0000 0.5000 0.5000
```

Tl2PdAuS4 after structural relaxation. Source: the Alexandria database, functional PBE.

Output
Formation energy (no corrections) in eV/atom: 0.008

```
Tl2PdAuS4
1.0
-2.5122 -4.7348 -1.3613
5.2366 -5.6698 -1.1764
-1.7479 -4.6758 8.2561
Tl Pd Au S
4 2 2 8
Direct
0.1954 0.0000 0.6091
0.8046 0.0000 0.3909
0.5546 0.5000 0.8909
0.9454 0.5000 0.1091
0.7500 0.5000 0.5000
0.0000 0.0000 0.0000
0.2500 0.5000 0.5000
0.5000 0.0000 0.0000
0.2593 0.7976 0.1629
0.2197 0.2024 0.8371
0.9432 0.7976 0.8371
0.5778 0.2024 0.1629
0.4907 0.7024 0.3371
0.5303 0.2976 0.6629
0.8068 0.7024 0.6629
0.1722 0.2976 0.3371
```

Pm2Zn4Ag3 after structural relaxation. Source: the Alexandria database, functional PBE.

Output
Energy of formation from the pure elements in meV/atom: -238

```
Pm2Zn4Ag3
1.0
-5.6467 -1.5038 -1.2614
2.5785 -6.0695 -4.3068
2.6286 -3.8015 6.9311
Pm Zn Ag
4 8 6
Direct
0.1160 0.5808 0.2320
0.8840 0.4192 0.7680
0.3840 0.0808 0.7680
0.6160 0.9192 0.2320
0.6987 0.7500 0.8975
0.8013 0.2500 0.1025
0.3013 0.2500 0.1025
0.1987 0.7500 0.8975
0.1761 0.9742 0.3521
0.8239 0.0258 0.6479
0.3239 0.4742 0.6479
0.6761 0.5258 0.3521
0.0000 0.0000 0.0000
0.5000 0.5000 0.0000
0.5263 0.7500 0.5526
0.9737 0.2500 0.4474
0.4737 0.2500 0.4474
0.0263 0.7500 0.5526
```